VASP calculation (PBE) on a geometry-optimized YCu3Re structure.

a = 4.651 Å, b = 4.651 Å, c = 4.651 Å
α = 90.00°, β = 90.00°, γ = 90.00°
Positions (direct):
1 Y 0.500 0.500 0.500
2 Cu 0.000 0.000 0.500
3 Cu 0.000 0.500 0.000
4 Cu 0.500 0.000 0.000
5 Re 0.000 0.000 0.000

Space group: Pm-3m, No. 221
Total energy: -5.5120 eV/atom
Formation energy: 3.64 eV/f.u.

---

VASP calculation (PBE) on a geometry-optimized YCuRe3 structure.

a = 4.806 Å, b = 4.806 Å, c = 4.806 Å
α = 90.00°, β = 90.00°, γ = 90.00°
Positions (direct):
1 Y 0.000 0.000 0.000
2 Re 0.000 0.000 0.500
3 Re 0.000 0.500 0.000
4 Re 0.500 0.000 0.000
5 Cu 0.500 0.500 0.500

Space group: Pm-3m, No. 221
Total energy: -6.2737 eV/atom
Formation energy: 16.54 eV/f.u.

---

VASP calculation (PBE) on a geometry-optimized YCu4Re structure.

a = 4.991 Å, b = 4.991 Å, c = 4.991 Å
α = 60.00°, β = 60.00°, γ = 60.00°
Positions (direct):
1 Cu 0.376 0.376 0.871
2 Cu 0.376 0.376 0.376
3 Cu 0.871 0.376 0.376
4 Cu 0.376 0.871 0.376
5 Re 0.750 0.750 0.750
6 Y 0.000 0.000 0.000

Space group: F-43m, No. 216
Total energy: -5.7234 eV/atom
Formation energy: 0.96 eV/f.u.

---

VASP calculation (PBE) on a geometry-optimized Y2CuRe structure.

a = 3.395 Å, b = 3.395 Å, c = 7.788 Å
α = 90.00°, β = 90.00°, γ = 90.01°
Positions (direct):
1 Re 0.500 0.500 0.685
2 Y 0.000 0.000 0.927
3 Y 0.500 0.500 0.329
4 Cu 0.000 0.000 0.558

Space group: P4mm, No. 99
Total energy: -7.1424 eV/atom
Formation energy: 0.90 eV/f.u.

---

VASP calculation (PBE) on a geometry-optimized Y2Cu2Re structure.

a = 6.825 Å, b = 6.825 Å, c = 4.166 Å
α = 90.00°, β = 90.00°, γ = 90.00°
Positions (direct):
1 Y 0.687 0.813 0.500
2 Y 0.813 0.313 0.500
3 Y 0.313 0.187 0.500
4 Y 0.187 0.687 0.500
5 Cu 0.375 0.875 0.000
6 Cu 0.125 0.375 0.000
7 Cu 0.625 0.125 0.000
8 Cu 0.875 0.625 0.000
9 Re 0.500 0.500 0.000
10 Re 0.000 0.000 0.000

Space group: P4/mbm, No. 127
Total energy: -6.5945 eV/atom
Formation energy: 0.60 eV/f.u.

---

VASP calculation (PBE) on a geometry-optimized Y2CuRe structure.

a = 4.365 Å, b = 4.365 Å, c = 6.943 Å
α = 79.85°, β = 79.85°, γ = 44.78°
Positions (direct):
1 Cu 0.250 0.250 0.250
2 Y 0.497 0.497 0.514
3 Y 0.003 0.003 0.986
4 Re 0.750 0.750 0.750

Space group: C2/m, No. 12
Total energy: -6.9319 eV/atom
Formation energy: 1.74 eV/f.u.

---

Number 1: spin magnetization 0.00 μB per cell. Number 2: spin magnetization 0.00 μB per cell. Number 3: spin magnetization 0.00 μB per cell. Number 4: spin magnetization 0.00 μB per cell. Number 5: spin magnetization 0.00 μB per cell. Number 6: spin magnetization 0.00 μB per cell.